Entry 1:
# Rb2CoRuSe

A relaxed Rb2CoRuSe crystal (PBE-GGA, the Alexandria database).

It has space group P4/mmm (No. 123), with a = 6.4206 Å, b = 6.4206 Å, c = 4.2931 Å, α = 90.00°, β = 90.00° and γ = 90.00°. The distinct sites, in fractional coordinates, are Rb at (0.0000, 0.5000, 0.0000), Co at (0.0000, 0.0000, 0.0000), Ru at (0.0000, 0.0000, 0.5000) and Se at (0.5000, 0.5000, 0.5000).

The value obtained for the density of states at the Fermi level is 1.210 states/eV/atom. The calculation puts the mass density at 3.8 g/cm3. The volume comes out at 35.4 Å³/atom. The value obtained for the total magnetization is 0.54 μB/atom. The raw total energy is -3.53 eV per atom.

Entry 2:
# RbSrCoRu2

A relaxed RbSrCoRu2 crystal (PBE-GGA, the Alexandria database).

It has space group P4/mmm (No. 123), with a = 4.6317 Å, b = 4.6317 Å, c = 5.4846 Å, α = 90.00°, β = 90.00° and γ = 90.00°. The distinct sites, in fractional coordinates, are Rb at (0.0000, 0.0000, 0.0000), Sr at (0.5000, 0.5000, 0.0000), Co at (0.5000, 0.5000, 0.5000) and Ru at (0.0000, 0.5000, 0.5000).

The value obtained for the density of states at the Fermi level is 1.431 states/eV/atom. The calculation puts the mass density at 6.1 g/cm3. As for the calculated formation energy: 1.03 eV per atom. The volume comes out at 23.5 Å³/atom. The value obtained for the total magnetization is 0.10 μB/atom.

Entry 3:
# Rb3CoS3

A relaxed Rb3CoS3 crystal (PBE-GGA, the Alexandria database).

It has space group P2_1/c (No. 14), with a = 8.9252 Å, b = 7.9935 Å, c = 12.8719 Å, α = 90.00°, β = 99.48° and γ = 90.00°. The distinct sites, in fractional coordinates, are Rb at (0.0870, 0.1551, 0.1320), Rb at (0.3052, 0.7251, 0.7879), Rb at (0.3943, 0.2366, 0.9200), Co at (0.1611, 0.5739, 0.0442), S at (0.0636, 0.0572, 0.3881), S at (0.2379, 0.6642, 0.5228) and S at (0.3512, 0.0606, 0.6438).

The value obtained for the density of states at the Fermi level is 0.496 states/eV/atom. The calculation puts the mass density at 3.0 g/cm3. The volume comes out at 32.3 Å³/atom. The value obtained for the total magnetization is 0.58 μB/atom. The raw total energy is -4.01 eV per atom.

Entry 4:
# RbCoS3

A relaxed RbCoS3 crystal (PBE-GGA, the Alexandria database).

It has space group Pm-3m (No. 221), with a = 4.6764 Å, b = 4.6764 Å, c = 4.6764 Å, α = 90.00°, β = 90.00° and γ = 90.00°. The distinct sites, in fractional coordinates, are Rb at (0.0000, 0.0000, 0.0000), Co at (0.5000, 0.5000, 0.5000) and S at (0.0000, 0.5000, 0.5000).

The value obtained for the density of states at the Fermi level is 1.452 states/eV/atom. The calculation puts the mass density at 3.9 g/cm3. The energy above the lowest structure with this stoichiometry is 0.98 eV/f.u. The volume comes out at 20.5 Å³/atom. The value obtained for the total magnetization is 0.56 μB/atom.

Entry 5:
# RbCoS3

A relaxed RbCoS3 crystal (PBE-GGA, the Alexandria database).

It has space group Pmmn (No. 59, origin choice 2), with a = 3.2780 Å, b = 8.9731 Å, c = 8.4643 Å, α = 90.00°, β = 90.00° and γ = 90.00°. The distinct sites, in fractional coordinates, are Rb at (0.2500, 0.2500, 0.2394), Co at (0.2500, 0.2500, 0.7326), S at (0.2500, 0.6306, 0.4154) and S at (0.2500, 0.7500, 0.0893).

The value obtained for the density of states at the Fermi level is 0.650 states/eV/atom. The calculation puts the mass density at 3.2 g/cm3. The energy above the lowest structure with this stoichiometry is 0.00 eV/f.u. The volume comes out at 24.9 Å³/atom. The value obtained for the total magnetization is 0.00 μB/atom.

Entry 6:
# RbCo2S

A relaxed RbCo2S crystal (PBE-GGA, the Alexandria database).

It has space group I4_1/amd (No. 141, origin choice 2), with a = 4.9828 Å, b = 4.9828 Å, c = 14.2561 Å, α = 90.00°, β = 90.00° and γ = 90.00°. The distinct sites, in fractional coordinates, are Rb at (0.0000, 0.2500, 0.3750), Co at (0.0000, 0.0000, 0.0000) and S at (0.0000, 0.2500, 0.8750).

The value obtained for the density of states at the Fermi level is 1.549 states/eV/atom. The calculation puts the mass density at 4.4 g/cm3. The volume comes out at 22.1 Å³/atom. The value obtained for the total magnetization is 0.60 μB/atom. The raw total energy is -4.71 eV per atom.

Entry 7:
# Rb5CoS5

A relaxed Rb5CoS5 crystal (PBE-GGA, the Alexandria database).

It has space group C2/m (No. 12), with a = 14.4163 Å, b = 6.6008 Å, c = 8.6884 Å, α = 90.00°, β = 110.84° and γ = 90.00°. The distinct sites, in fractional coordinates, are Rb at (0.0000, 0.0000, 0.0000), Rb at (0.1616, 0.5000, 0.3361), Rb at (0.1935, 0.5000, 0.8039), Co at (0.0000, 0.0000, 0.5000), S at (0.0000, 0.5000, 0.5000), S at (0.1142, 0.0000, 0.3861) and S at (0.1261, 0.0000, 0.7553).

The value obtained for the density of states at the Fermi level is 0.449 states/eV/atom. The calculation puts the mass density at 2.8 g/cm3. The volume comes out at 35.1 Å³/atom. The value obtained for the total magnetization is 0.37 μB/atom. The raw total energy is -3.49 eV per atom.

Entry 8:
# Rb2Co2S3

A relaxed Rb2Co2S3 crystal (PBE-GGA, the Alexandria database).

It has space group C2/m (No. 12), with a = 11.9347 Å, b = 3.8616 Å, c = 8.0312 Å, α = 90.00°, β = 122.46° and γ = 90.00°. The distinct sites, in fractional coordinates, are Rb at (0.0705, 0.0000, 0.3500), Co at (0.2009, 0.5000, 0.0594), S at (0.0000, 0.5000, 0.0000) and S at (0.2071, 0.5000, 0.7912).

The value obtained for the density of states at the Fermi level is 0.657 states/eV/atom. The calculation puts the mass density at 4.1 g/cm3. The volume comes out at 22.3 Å³/atom. The value obtained for the total magnetization is 0.13 μB/atom. The raw total energy is -4.72 eV per atom.